First-principles (PBE) data for crystalline Y5Ho5Er2 at its relaxed geometry, as listed in Alexandria via LeMat-Bulk.

Summary:
Space group = C2/m, No. 12
VASP energy = -63.1 eV/f.u.
Crystal system = monoclinic
ΔE_f = 105 meV/atom
ΔE to the lowest computed polymorph = 81 meV per atom
Theoretical density = 7.02 g/cm³

a b c (Å): 5.6255 6.4818 12.0175
angles (deg): 76.48 76.46 64.28
Last column: nearest neighbours and their distance in Å.
Positions (direct):
Er  0.9195  0.4568  0.7042  4 Ho 3.19-3.46, 3 Y 3.43-3.51
Y  0.3061  0.3568  0.0309  3 Y 3.30-3.34, 5 Ho 3.39-3.61, 1 Er 3.43
Ho  0.1903  0.0934  0.5260  3 Ho 3.11-3.37, 2 Er 3.19-3.46
Y  0.5734  0.0963  0.7569  2 Y 3.34-3.53, 2 Er 3.51, 4 Ho 3.58-3.64
Er  0.0805  0.5432  0.2958  4 Ho 3.19-3.46, 3 Y 3.43-3.51
Ho  0.2572  0.7125  0.7731  2 Er 3.34, 2 Ho 3.34-3.37, 7 Y 3.39-3.63
Y  0.6939  0.6432  0.9691  3 Y 3.30-3.34, 5 Ho 3.39-3.61, 1 Er 3.43
Ho  0.8097  0.9066  0.4740  3 Ho 3.11-3.37, 2 Er 3.19-3.46
Ho  0.0000  0.0000  0.0000  2 Ho 3.34, 6 Y 3.55-3.72
Y  0.4266  0.9037  0.2431  2 Y 3.34-3.53, 2 Er 3.51, 4 Ho 3.58-3.64
Y  0.5000  0.5000  0.5000  8 Ho 3.52-3.66, 2 Y 3.53, 4 Er 3.67
Ho  0.7428  0.2875  0.2269  2 Er 3.34, 2 Ho 3.34-3.37, 7 Y 3.39-3.63


First-principles (PBE) data for crystalline YHo2Er4 at its relaxed geometry, as listed in Alexandria via LeMat-Bulk.

Summary:
Space group = P1, No. 1
VASP energy = -32.9 eV/f.u.
Crystal system = triclinic
ΔE_f = 132 meV/atom
ΔE to the lowest computed polymorph = 52 meV per atom
Theoretical density = 7.96 g/cm³

a b c (Å): 6.0880 10.0187 9.4017
angles (deg): 122.33 102.96 96.09
Last column: nearest neighbours and their distance in Å.
Positions (direct):
Er  0.9135  0.6083  0.6642  6 Er 3.41-3.67, 2 Y 3.47-3.51, 3 Ho 3.48-3.49
Ho  0.2915  0.4637  0.8516  8 Er 3.41-3.56, 4 Ho 3.50-3.57
Er  0.3973  0.1296  0.8434  6 Er 3.42-3.55, 3 Ho 3.44-3.53, 2 Y 3.50-3.52
Y  0.1154  0.0017  0.0562  9 Er 3.47-3.58, 1 Ho 3.49
Er  0.8023  0.9306  0.6481  6 Er 3.41-3.55, 3 Ho 3.42-3.57, 3 Y 3.50-3.52
Er  0.5148  0.7949  0.8501  6 Er 3.44-3.53, 2 Ho 3.46-3.51, 3 Y 3.47-3.58
Er  0.8874  0.6602  0.0487  4 Er 3.41-3.54, 6 Ho 3.47-3.59, 2 Y 3.48-3.51
Y  0.2014  0.7305  0.4516  9 Er 3.42-3.57, 3 Ho 3.45-3.55
Er  0.0824  0.0605  0.4493  4 Er 3.41-3.54, 5 Ho 3.46-3.58, 2 Y 3.47-3.48
Ho  0.4901  0.8596  0.2516  6 Er 3.42-3.58, 2 Y 3.45-3.49, 3 Ho 3.47-3.51
Er  0.2839  0.4007  0.4561  3 Ho 3.41-3.52, 2 Y 3.42-3.53, 5 Er 3.44-3.67
Ho  0.5946  0.5219  0.2521  7 Er 3.48-3.57, 2 Ho 3.50-3.51, 2 Y 3.54-3.55
Ho  0.6802  0.2580  0.6357  3 Ho 3.47-3.57, 8 Er 3.48-3.59
Er  0.9951  0.3299  0.0413  5 Er 3.41-3.55, 4 Ho 3.42-3.56, 2 Y 3.51-3.57


First-principles (PBE) data for crystalline Y6Ho7Er16 at its relaxed geometry, as listed in Alexandria via LeMat-Bulk.

Summary:
Space group = Fm-3m, No. 225
VASP energy = -137.0 eV/f.u.
Crystal system = cubic
ΔE_f = 237 meV/atom
Theoretical density = 7.66 g/cm³

a b c (Å): 11.0200 11.0200 11.0200
angles (deg): 60.00 60.00 60.00
Last column: nearest neighbours and their distance in Å.
Positions (direct):
Ho  0.0000  0.5000  0.0000  8 Er 3.20-3.40
Ho  0.0000  0.5000  0.5000  8 Er 3.20-3.40
Er  0.8780  0.8780  0.8780  4 Ho 3.29-3.40, 3 Er 3.56, 3 Y 3.69
Er  0.6340  0.1220  0.1220  4 Ho 3.29-3.40, 3 Er 3.56, 3 Y 3.69
Er  0.0388  0.6537  0.6537  3 Ho 3.20, 3 Y 3.53, 3 Er 3.56
Er  0.6537  0.0388  0.6537  3 Ho 3.20, 3 Y 3.53, 3 Er 3.56
Y  0.7163  0.2837  0.7163  8 Er 3.53-3.69, 4 Ho 3.93
Y  0.2837  0.7163  0.2837  8 Er 3.53-3.69, 4 Ho 3.93
Er  0.6537  0.6537  0.0388  3 Ho 3.20, 3 Y 3.53, 3 Er 3.56
Er  0.3660  0.8780  0.8780  4 Ho 3.29-3.40, 3 Er 3.56, 3 Y 3.69
Er  0.8780  0.3660  0.8780  4 Ho 3.29-3.40, 3 Er 3.56, 3 Y 3.69
Er  0.3463  0.3463  0.3463  3 Ho 3.20, 3 Y 3.53, 3 Er 3.56
Er  0.1220  0.1220  0.6340  4 Ho 3.29-3.40, 3 Er 3.56, 3 Y 3.69
Er  0.9612  0.3463  0.3463  3 Ho 3.20, 3 Y 3.53, 3 Er 3.56
Ho  0.0000  0.0000  0.5000  8 Er 3.20-3.40
Ho  0.5000  0.0000  0.0000  8 Er 3.20-3.40
Er  0.6537  0.6537  0.6537  3 Ho 3.20, 3 Y 3.53, 3 Er 3.56
Er  0.3463  0.9612  0.3463  3 Ho 3.20, 3 Y 3.53, 3 Er 3.56
Er  0.8780  0.8780  0.3660  4 Ho 3.29-3.40, 3 Er 3.56, 3 Y 3.69
Ho  0.5000  0.5000  0.0000  8 Er 3.20-3.40
Y  0.2837  0.2837  0.7163  8 Er 3.53-3.69, 4 Ho 3.93
Er  0.3463  0.3463  0.9612  3 Ho 3.20, 3 Y 3.53, 3 Er 3.56
Er  0.1220  0.6340  0.1220  4 Ho 3.29-3.40, 3 Er 3.56, 3 Y 3.69
Er  0.1220  0.1220  0.1220  4 Ho 3.29-3.40, 3 Er 3.56, 3 Y 3.69
Y  0.7163  0.2837  0.2837  8 Er 3.53-3.69, 4 Ho 3.93
Y  0.7163  0.7163  0.2837  8 Er 3.53-3.69, 4 Ho 3.93
Y  0.2837  0.7163  0.7163  8 Er 3.53-3.69, 4 Ho 3.93
Ho  0.0000  0.0000  0.0000  8 Er 3.29
Ho  0.5000  0.0000  0.5000  8 Er 3.20-3.40